# LiFeSbO4 GGA+U relaxed
data_LiFeSbO4
_chemical_formula_sum 'Li4 Fe4 Sb4 O16'
_symmetry_space_group_name_H-M 'P 43 2 2'
_symmetry_Int_Tables_number 95
_symmetry_space_group_name_Hall 'P 4cw 2c'
_cell_length_a 6.2237
_cell_length_b 6.2237
_cell_length_c 8.5815
_cell_angle_alpha 90.00
_cell_angle_beta 90.00
_cell_angle_gamma 90.00
loop_
_atom_site_label
_atom_site_type_symbol
_atom_site_fract_x
_atom_site_fract_y
_atom_site_fract_z
Li1 Li 0.0000 0.2157 0.0000
Fe1 Fe 0.2413 0.2413 0.6250
Sb1 Sb 0.2351 0.5000 0.2500
O1 O 0.0272 0.2651 0.2527
O2 O 0.2713 0.4790 0.0141
# total energy	-0.4498	Ry per atom
# energy relative to the lowest polymorph listed for this composition	0.3	kJ per mole of atoms